Record 1
VASP calculation (PBE) on an optimized crystal structure of ScPPbO2.

a b c (Å): 4.0611 4.0611 5.4711
angles (deg): 90.00 90.00 90.00
Last column: nearest neighbours and their distance in Å.
Element x y z (fractional)
P (0.0000, 0.0000, 0.5000)  2 Sc 2.74, 4 Pb 2.87
Pb (0.5000, 0.5000, 0.5000)  4 P 2.87
Sc (0.0000, 0.0000, 0.0000)  4 O 2.03
O (0.5000, 0.0000, 0.0000)  2 Sc 2.03
O (0.0000, 0.5000, 0.0000)  2 Sc 2.03

## Properties
ΔE_f (raw)	-6.0	eV per formula unit
total DFT energy (no corrections)	-6.2776	eV per atom
density of states at the Fermi level	2.8	states/eV/f.u.
calculated volume	90.23	Å³/cell

---

Record 2
VASP calculation (PBE) on an optimized crystal structure of PPbSeO2.

a b c (Å): 4.0019 4.0019 4.9711
angles (deg): 90.00 90.00 90.00
Last column: nearest neighbours and their distance in Å.
Element x y z (fractional)
P (0.0000, 0.0000, 0.5000)  2 Se 2.49
O (0.0000, 0.5000, 0.0000)  2 Se 2.00
Se (0.0000, 0.0000, 0.0000)  4 O 2.00
O (0.5000, 0.0000, 0.0000)  2 Se 2.00
Pb (0.5000, 0.5000, 0.5000)  4 P 2.83

## Properties
ΔE_f (raw)	-0.4	eV per formula unit
total DFT energy (no corrections)	-4.5925	eV per atom
density of states at the Fermi level	0.7	states/eV/f.u.
calculated volume	79.61	Å³/cell